Record 1
! Np3Pa2TiP6 (PBE, optimized geometry); values from VASP
&SYSTEM
  ibrav = 0, nat = 12, ntyp = 4
/
ATOMIC_SPECIES
P 30.97 P.upf
Pa 231.04 Pa.upf
Np 237.00 Np.upf
Ti 47.87 Ti.upf
CELL_PARAMETERS angstrom
6.7510 -0.0018 -0.0035
-3.3754 5.8466 -0.0035
-1.1296 -1.9559 6.3657
ATOMIC_POSITIONS angstrom
P 0.1039 3.8968 4.8404
P -0.0584 -0.1012 4.7881
Pa 0.0195 3.8859 -0.0035
Np 1.1230 1.9445 3.1794
Ti 0.0000 0.0000 0.0000
Pa 3.3561 1.9589 -0.0035
P 2.3044 3.9901 1.5707
P 3.3234 2.0374 4.8404
Np -2.2009 3.8641 3.1794
P -1.0774 1.8515 1.5184
P 2.1421 -0.0079 1.5184
Np 4.4469 0.0248 3.1794
! - crystal system = monoclinic
! - ρ (g cm⁻³) = 9.30
! - formation energy (eV/atom) = -1.04



Record 2
! GdCdPb2 (PBE, optimized geometry); values from VASP
&SYSTEM
  ibrav = 0, nat = 4, ntyp = 3
/
ATOMIC_SPECIES
Cd 112.41 Cd.upf
Pb 207.20 Pb.upf
Gd 157.25 Gd.upf
CELL_PARAMETERS angstrom
-4.6689 -0.3488 -2.7380
-0.0810 -2.2104 -4.9522
-2.3351 -4.8337 -0.7744
ATOMIC_POSITIONS angstrom
Cd 0.0000 0.0000 0.0000
Pb -1.7713 -1.8482 -2.1162
Pb -5.3138 -5.5446 -6.3485
Gd -3.5425 -3.6964 -4.2323
! - crystal system = cubic
! - ρ (g cm⁻³) = 10.07
! - distance to the lowest polymorph of the same formula (meV per atom) = 192.1
! - formation energy (eV/atom) = -0.15



Record 3
! RbRuS3 (PBE, optimized geometry); values from VASP
&SYSTEM
  ibrav = 0, nat = 5, ntyp = 3
/
ATOMIC_SPECIES
Ru 101.07 Ru.upf
Rb 85.47 Rb.upf
S 32.06 S.upf
CELL_PARAMETERS angstrom
-0.2548 -1.9622 -4.9505
5.0532 -1.6530 0.3951
-1.6803 -4.6734 1.9389
ATOMIC_POSITIONS angstrom
Ru 1.5590 -4.1443 -1.3083
Rb 0.0000 0.0000 0.0000
S -0.8402 -2.3367 0.9694
S 2.5266 -0.8265 0.1976
S -0.1274 -0.9811 -2.4753
! - ΔE_f (raw) (meV/atom) = 2038
! - crystal system = cubic
! - ρ (g cm⁻³) = 3.10
! - distance to the lowest polymorph of the same formula (meV per atom) = 2167.8



Record 4
! Be2HgAs (PBE, optimized geometry); values from VASP
&SYSTEM
  ibrav = 0, nat = 4, ntyp = 3
/
ATOMIC_SPECIES
Be 9.01 Be.upf
As 74.92 As.upf
Hg 200.59 Hg.upf
CELL_PARAMETERS angstrom
-2.0242 -4.2476 1.6193
2.8375 -1.5739 -3.7726
0.6476 1.7500 4.6130
ATOMIC_POSITIONS angstrom
Be 0.3735 -2.6734 -0.9889
As 1.9459 -1.3673 -0.1182
Be 0.0332 -0.2374 -0.0878
Hg -0.4849 -2.7042 2.5778
! - crystal system = orthorhombic
! - ρ (g cm⁻³) = 6.33
! - formation energy (eV/atom) = 0.52



Record 5
! In4IBr2 (PBE, optimized geometry); values from VASP
&SYSTEM
  ibrav = 0, nat = 7, ntyp = 3
/
ATOMIC_SPECIES
In 114.82 In.upf
Br 79.90 Br.upf
I 126.90 I.upf
CELL_PARAMETERS angstrom
-3.5478 -1.3749 -5.0729
5.2069 -0.0847 -3.6185
1.8718 -9.7297 -2.6354
ATOMIC_POSITIONS angstrom
In 2.1828 -5.9823 -7.8320
In 2.6034 -0.0423 -1.8093
Br 2.5013 -8.7327 -7.3093
In 1.3480 -5.2070 -3.4949
In -1.7739 -0.6875 -2.5365
Br 1.0295 -2.4567 -4.0176
I 0.0000 0.0000 0.0000
! - ΔE_f (raw) (meV/atom) = -183
! - crystal system = tetragonal
! - ρ (g cm⁻³) = 3.34



Record 6
! Mn3InS (PBE, optimized geometry); values from VASP
&SYSTEM
  ibrav = 0, nat = 5, ntyp = 3
/
ATOMIC_SPECIES
In 114.82 In.upf
Mn 54.94 Mn.upf
S 32.06 S.upf
CELL_PARAMETERS angstrom
-0.2102 3.4425 2.3503
-2.8844 -1.8189 2.4063
3.0091 -1.5032 2.4708
ATOMIC_POSITIONS angstrom
In -0.0428 0.0602 3.6137
Mn -0.1051 1.7212 1.1751
Mn -1.4422 -0.9095 1.2031
S 0.0000 0.0000 0.0000
Mn 1.5045 -0.7516 1.2354
! - ΔE_f (raw) (meV/atom) = 156
! - crystal system = cubic
! - ρ (g cm⁻³) = 7.12
! - distance to the lowest polymorph of the same formula (meV per atom) = 0.0



Per-record M_tot, μB per cell: 11.727, 7.282, 4.365, 0.000, 0.000, 4.067